A plane-wave DFT calculation with PBE+U was carried out for an optimized crystal structure of K2FeGeO4.

Cell: 5.9348 5.9348 7.2705 Å, 90.00 90.00 90.00°
Last column: nearest neighbours and their distance in Å.
Space group I-4 (No. 82)
Inequivalent atoms, fractional coordinates:
K (0.0000, 0.0000, 0.0000) [2 per cell]  4 O 2.68
K (0.0000, 0.5000, 0.2500) [2 per cell]  8 O 2.95-3.03
Fe (0.0000, 0.0000, 0.5000) [2 per cell]  4 O 2.03
Ge (0.0000, 0.5000, 0.7500) [2 per cell]  4 O 1.79
O (0.1283, 0.7146, 0.6128) [8 per cell]  1 Ge 1.79

VASP energy = -45.8 eV per formula unit
Fermi-level density of states = 0.0 states/eV per cell
V = 16.00 Å³ per atom